Entry from Alexandria via LeMat-Bulk: crystalline MgScO2 at its relaxed geometry (GGA-PBE).

Summary:
- Fermi-level density of states: 0.177 states/eV per atom
- Final energy: -7.11 eV/atom
- Formation energy (no corrections): -2652 meV/atom

The structure in CIF format:
```
data_MgScO2
_space_group_name_H-M_alt 'R -3 m'
_space_group_IT_number 166
_space_group_name_Hall '-R 3 2"'
_cell_length_a 3.2148
_cell_length_b 3.2148
_cell_length_c 18.1788
_cell_angle_alpha 90.00
_cell_angle_beta 90.00
_cell_angle_gamma 120.00
loop_
_atom_site_label
_atom_site_fract_x
_atom_site_fract_y
_atom_site_fract_z
Mg1 0.0000 0.0000 0.0000
Sc1 0.0000 0.0000 0.5000
O1 0.0000 0.0000 0.1087
```



Entry from Alexandria via LeMat-Bulk: crystalline H3OsCl at its relaxed geometry (GGA-PBE).

Summary:
- Fermi-level density of states: 0.689 states/eV per atom
- Final energy: -2.66 eV/atom
- Offset from the most stable computed form: 1111 meV/atom

The structure in CIF format:
```
data_H3OsCl
_space_group_name_H-M_alt 'P m -3 m'
_space_group_IT_number 221
_space_group_name_Hall '-P 4 2 3'
_cell_length_a 3.549
_cell_length_b 3.549
_cell_length_c 3.549
_cell_angle_alpha 90.00
_cell_angle_beta 90.00
_cell_angle_gamma 90.00
loop_
_atom_site_label
_atom_site_fract_x
_atom_site_fract_y
_atom_site_fract_z
H1 0.000 0.000 0.500
Os1 0.500 0.500 0.500
Cl1 0.000 0.000 0.000
```



Repeat the second record exactly.
Entry from Alexandria via LeMat-Bulk: crystalline H3OsCl at its relaxed geometry (GGA-PBE).

Summary:
- Fermi-level density of states: 0.689 states/eV per atom
- Final energy: -2.66 eV/atom
- Offset from the most stable computed form: 1111 meV/atom

The structure in CIF format:
```
data_H3OsCl
_space_group_name_H-M_alt 'P m -3 m'
_space_group_IT_number 221
_space_group_name_Hall '-P 4 2 3'
_cell_length_a 3.549
_cell_length_b 3.549
_cell_length_c 3.549
_cell_angle_alpha 90.00
_cell_angle_beta 90.00
_cell_angle_gamma 90.00
loop_
_atom_site_label
_atom_site_fract_x
_atom_site_fract_y
_atom_site_fract_z
H1 0.000 0.000 0.500
Os1 0.500 0.500 0.500
Cl1 0.000 0.000 0.000
```



Copy entry 1 word for word.
Entry from Alexandria via LeMat-Bulk: crystalline MgScO2 at its relaxed geometry (GGA-PBE).

Summary:
- Fermi-level density of states: 0.177 states/eV per atom
- Final energy: -7.11 eV/atom
- Formation energy (no corrections): -2652 meV/atom

The structure in CIF format:
```
data_MgScO2
_space_group_name_H-M_alt 'R -3 m'
_space_group_IT_number 166
_space_group_name_Hall '-R 3 2"'
_cell_length_a 3.2148
_cell_length_b 3.2148
_cell_length_c 18.1788
_cell_angle_alpha 90.00
_cell_angle_beta 90.00
_cell_angle_gamma 120.00
loop_
_atom_site_label
_atom_site_fract_x
_atom_site_fract_y
_atom_site_fract_z
Mg1 0.0000 0.0000 0.0000
Sc1 0.0000 0.0000 0.5000
O1 0.0000 0.0000 0.1087
```



Which formula does entry 1 have?
MgScO2